Record 1
The following is a GGA-PBE calculation of a relaxed Th2ScPa crystal, from Alexandria via LeMat-Bulk.

The structure belongs to space group R3m (No. 160, hexagonal axes); the cell edges are 3.4326, 3.4326 and 33.3819 Å and the angles 90.00°, 90.00° and 120.00°. The distinct sites, in fractional coordinates, are Th at (0.0000, 0.0000, 0.0000), Th at (0.0000, 0.0000, 0.1657), Sc at (0.0000, 0.0000, 0.4148) and Pa at (0.0000, 0.0000, 0.5833).

The total moment comes out at 0.00 μB per formula unit. The calculation puts the formation energy from the elements at 0.098 eV per atom. The calculation puts the density at 10.82 g cm⁻³.



Record 2
The following is a GGA-PBE calculation of a relaxed Th2ScPa crystal, from Alexandria via LeMat-Bulk.

The structure belongs to space group R-3m (No. 166, hexagonal axes); the cell edges are 3.3250, 3.3250 and 35.9883 Å and the angles 90.00°, 90.00° and 120.00°. The distinct sites, in fractional coordinates, are Th at (0.0000, 0.0000, 0.0873), Sc at (0.0000, 0.0000, 0.5000) and Pa at (0.0000, 0.0000, 0.0000).

The total moment comes out at 0.00 μB per formula unit. The calculation puts the formation energy from the elements at 0.288 eV per atom. The calculation puts the density at 10.70 g cm⁻³.



Record 3
The following is a GGA-PBE calculation of a relaxed ThSc2Pa crystal, from Alexandria via LeMat-Bulk.

The structure belongs to space group P4/mmm (No. 123); the cell edges are 3.322, 3.322 and 9.590 Å and the angles 90.00°, 90.00° and 90.00°. The distinct sites, in fractional coordinates, are Th at (0.000, 0.000, 0.000), Sc at (0.500, 0.500, 0.265) and Pa at (0.000, 0.000, 0.500).

The total moment comes out at 0.26 μB per formula unit. The calculation puts the formation energy from the elements at 0.116 eV per atom. The calculation puts the density at 8.68 g cm⁻³.



Q: Among the records above, which one has the lowest density?
A: ThSc2Pa



Q: Which of these has the lowest density?
A: ThSc2Pa